Computed, not measured: a PBEsol-optimized structure of BaAl2Au2 at the SCAN level of DFT.

abc: 6.4894 6.4894 6.4894
angles: 139.93 139.93 57.96
Last column: nearest neighbours and their distance in Å.
Positions (direct):
Ba 0.0000 0.0000 0.0000  8 Au 3.48, 8 Al 3.61
Al 0.2500 0.7500 0.5000  4 Au 2.60
Al 0.7500 0.2500 0.5000  4 Au 2.60
Au 0.3681 0.3681 0.0000  4 Al 2.60
Au 0.6319 0.6319 0.0000  4 Al 2.60

Results
SG = I4/mmm
Formation enthalpy at 0 K = -0.837 eV/atom



Computed, not measured: a PBEsol-optimized structure of Hf2ZnPt2 at the SCAN level of DFT.

abc: 7.3771 7.3771 3.2874
angles: 90.00 90.00 90.00
Last column: nearest neighbours and their distance in Å.
Positions (direct):
Hf 0.1689 0.3311 0.0000  6 Pt 2.65-2.78
Hf 0.3311 0.8311 0.0000  6 Pt 2.65-2.78
Hf 0.6689 0.1689 0.0000  6 Pt 2.65-2.78
Hf 0.8311 0.6689 0.0000  6 Pt 2.65-2.78
Zn 0.0000 0.0000 0.5000  4 Pt 2.88, 8 Hf 3.20
Zn 0.5000 0.5000 0.5000  4 Pt 2.88, 8 Hf 3.20
Pt 0.1323 0.6323 0.5000  6 Hf 2.65-2.78, 1 Pt 2.76, 2 Zn 2.88
Pt 0.3677 0.1323 0.5000  6 Hf 2.65-2.78, 1 Pt 2.76, 2 Zn 2.88
Pt 0.6323 0.8677 0.5000  6 Hf 2.65-2.78, 1 Pt 2.76, 2 Zn 2.88
Pt 0.8677 0.3677 0.5000  6 Hf 2.65-2.78, 1 Pt 2.76, 2 Zn 2.88

Results
SG = P4/mbm
Formation enthalpy at 0 K = -1.041 eV/atom



Computed, not measured: a PBEsol-optimized structure of LiPt2W at the SCAN level of DFT.

abc: 2.6948 4.4970 4.7519
angles: 90.00 90.00 90.00
Last column: nearest neighbours and their distance in Å.
Positions (direct):
Li 0.0000 0.0000 0.0000  8 Pt 2.66-2.80, 2 Li 2.69, 2 W 2.86
Pt 0.5000 0.0000 0.5163  4 Li 2.66-2.80, 4 Pt 2.69-2.87, 4 W 2.71
Pt 0.5000 0.5000 0.8917  4 W 2.65-2.81, 4 Li 2.67, 4 Pt 2.69-2.87
W 0.0000 0.5000 0.3728  8 Pt 2.65-2.81, 2 W 2.69, 2 Li 2.86

Results
SG = Pmm2
Formation enthalpy at 0 K = -0.495 eV/atom



Computed, not measured: a PBEsol-optimized structure of OsRuRh2 at the SCAN level of DFT.

abc: 4.6358 4.6358 4.6420
angles: 99.41 99.41 33.44
Last column: nearest neighbours and their distance in Å.
Positions (direct):
Os 0.0000 0.0000 0.0000  3 Ru 2.65-2.68, 7 Rh 2.66-2.70, 2 Os 2.67
Ru 0.2528 0.2528 0.7582  3 Os 2.65-2.68, 7 Rh 2.65-2.70, 2 Ru 2.67
Rh 0.5036 0.5036 0.5058  5 Rh 2.65-2.72, 4 Os 2.66-2.70, 3 Ru 2.68-2.69
Rh 0.7487 0.7487 0.2507  5 Rh 2.65-2.72, 4 Ru 2.65-2.70, 3 Os 2.67-2.69

Results
SG = Cm
Formation enthalpy at 0 K = 0.065 eV/atom



Computed, not measured: a PBEsol-optimized structure of KNi2Se at the SCAN level of DFT.

abc: 6.1059 6.1059 6.1059
angles: 38.75 38.75 38.75
Last column: nearest neighbours and their distance in Å.
Positions (direct):
K 0.0000 0.0000 0.0000  8 Ni 3.12-3.44
Ni 0.1843 0.1843 0.1843  3 Se 2.36, 3 Ni 2.41
Ni 0.8157 0.8157 0.8157  3 Se 2.36, 3 Ni 2.41
Se 0.5000 0.5000 0.5000  6 Ni 2.36

Results
Raw formation energy = -147 meV per atom
SG = R-3m



Computed, not measured: a PBEsol-optimized structure of Rb2Se3 at the SCAN level of DFT.

abc: 6.6707 6.6707 7.7061
angles: 90.00 90.00 110.75
Last column: nearest neighbours and their distance in Å.
Positions (direct):
Rb 0.0835 0.9165 0.5000  7 Se 3.40-3.53
Rb 0.4066 0.5934 0.7199  8 Se 3.38-3.69
Rb 0.5934 0.4066 0.2199  8 Se 3.38-3.69
Rb 0.9165 0.0835 0.0000  7 Se 3.40-3.53
Se 0.0848 0.4171 0.3518  1 Se 2.41
Se 0.2879 0.7121 0.1684  2 Se 2.41
Se 0.4171 0.0848 0.8518  1 Se 2.41
Se 0.5829 0.9152 0.3518  1 Se 2.41
Se 0.7121 0.2879 0.6684  2 Se 2.41
Se 0.9152 0.5829 0.8518  1 Se 2.41

Results
Raw formation energy = -954 meV per atom
SG = Cmc2_1



Computed, not measured: a PBEsol-optimized structure of SbH2Pt2 at the SCAN level of DFT.

abc: 5.1468 5.1468 5.1468
angles: 138.50 138.50 60.13
Last column: nearest neighbours and their distance in Å.
Positions (direct):
Sb 0.0000 0.0000 0.0000  8 H 2.88, 10 Pt 2.96-2.99
H 0.2500 0.7500 0.5000  4 Pt 1.98
H 0.7500 0.2500 0.5000  4 Pt 1.98
Pt 0.3360 0.3360 0.0000  4 H 1.98
Pt 0.6640 0.6640 0.0000  4 H 1.98

Results
Electronic total energy = -36.73 eV/atom
SG = I4/mmm



Computed, not measured: a PBEsol-optimized structure of FeCoIr2 at the SCAN level of DFT.

abc: 4.5077 4.5077 4.4105
angles: 100.43 100.43 34.08
Last column: nearest neighbours and their distance in Å.
Positions (direct):
Fe 0.0000 0.0000 0.0000  7 Ir 2.53-2.62, 3 Co 2.54-2.61, 2 Fe 2.64
Co 0.7448 0.7448 0.2378  7 Ir 2.53-2.61, 3 Fe 2.54-2.61, 2 Co 2.64
Ir 0.2493 0.2493 0.7501  4 Co 2.53-2.61, 3 Fe 2.59, 5 Ir 2.61-2.64
Ir 0.4954 0.4954 0.4863  4 Fe 2.53-2.62, 3 Co 2.59, 5 Ir 2.61-2.64

Results
SG = Cm
Formation enthalpy at 0 K = -0.033 eV/atom



Computed, not measured: a PBEsol-optimized structure of Co2Bi2Cl at the SCAN level of DFT.

abc: 7.9641 7.9641 3.1948
angles: 90.00 90.00 90.00
Last column: nearest neighbours and their distance in Å.
Positions (direct):
Co 0.0958 0.4042 0.0000  1 Co 2.16
Co 0.4042 0.9042 0.0000  1 Co 2.16
Co 0.5958 0.0958 0.0000  1 Co 2.16
Co 0.9042 0.5958 0.0000  1 Co 2.16
Bi 0.1829 0.6829 0.5000  6 Co 2.82-2.96, 2 Cl 2.92
Bi 0.3171 0.1829 0.5000  6 Co 2.82-2.96, 2 Cl 2.92
Bi 0.6829 0.8171 0.5000  6 Co 2.82-2.96, 2 Cl 2.92
Bi 0.8171 0.3171 0.5000  6 Co 2.82-2.96, 2 Cl 2.92
Cl 0.0000 0.0000 0.5000  4 Bi 2.92, 2 Cl 3.19
Cl 0.5000 0.5000 0.5000  4 Bi 2.92, 2 Cl 3.19

Results
Raw formation energy = 470 meV per atom
SG = P4/mbm



Computed, not measured: a PBEsol-optimized structure of Mo2AsOs at the SCAN level of DFT.

abc: 2.8443 4.0611 5.0857
angles: 90.00 90.00 90.00
Last column: nearest neighbours and their distance in Å.
Positions (direct):
Mo 0.0000 0.0000 0.2482  2 Mo 2.52-2.56, 4 As 2.78, 4 Os 2.79
Mo 0.0000 0.0000 0.7518  2 Mo 2.52-2.56, 4 As 2.78, 4 Os 2.79
As 0.5000 0.5000 0.0000  2 Os 2.54, 8 Mo 2.78, 2 As 2.84
Os 0.5000 0.5000 0.5000  2 As 2.54, 8 Mo 2.79, 2 Os 2.84

Results
SG = Pmmm
Formation enthalpy at 0 K = 0.088 eV/atom



Computed, not measured: a PBEsol-optimized structure of Nb2Al2Si at the SCAN level of DFT.

abc: 6.5661 6.5661 4.0250
angles: 90.00 90.00 90.00
Last column: nearest neighbours and their distance in Å.
Positions (direct):
Nb 0.1586 0.3414 0.0000  2 Si 2.47, 2 Al 2.71
Nb 0.3414 0.8414 0.0000  2 Si 2.47, 2 Al 2.71
Nb 0.6586 0.1586 0.0000  2 Si 2.47, 2 Al 2.71
Nb 0.8414 0.6586 0.0000  2 Si 2.47, 2 Al 2.71
Al 0.1458 0.6458 0.5000  1 Al 2.71, 6 Nb 2.71-2.84
Al 0.3542 0.1458 0.5000  1 Al 2.71, 6 Nb 2.71-2.84
Al 0.6458 0.8542 0.5000  1 Al 2.71, 6 Nb 2.71-2.84
Al 0.8542 0.3542 0.5000  1 Al 2.71, 6 Nb 2.71-2.84
Si 0.0000 0.0000 0.0000  4 Nb 2.47
Si 0.5000 0.5000 0.0000  4 Nb 2.47

Results
Raw formation energy = -205 meV per atom
SG = P4/mbm



Computed, not measured: a PBEsol-optimized structure of Ca2MgAu at the SCAN level of DFT.

abc: 3.6038 3.6038 8.1401
angles: 90.00 90.00 90.00
Last column: nearest neighbours and their distance in Å.
Positions (direct):
Ca 0.0000 0.0000 0.2116  4 Au 3.08
Ca 0.0000 0.0000 0.7884  4 Au 3.08
Mg 0.5000 0.5000 0.5000  8 Ca 3.46, 4 Mg 3.60
Au 0.5000 0.5000 0.0000  8 Ca 3.08

Results
SG = P4/mmm
Formation enthalpy at 0 K = -0.534 eV/atom